Below is crystalline NaWN2O at its relaxed geometry, with properties calculated at the PBE+U level.

```
data_NaWN2O
_cell_length_a 4.021
_cell_length_b 4.021
_cell_length_c 3.933
_cell_angle_alpha 90.00
_cell_angle_beta 90.00
_cell_angle_gamma 90.00
_space_group_name_H-M_alt 'P 4/m m m'
_space_group_IT_number 123
_space_group_name_Hall '-P 4 2'
loop_
_atom_site_label
_atom_site_type_symbol
_atom_site_fract_x
_atom_site_fract_y
_atom_site_fract_z
Na1 Na 0.000 0.000 0.000
W1 W 0.500 0.500 0.500
N1 N 0.000 0.500 0.000
O1 O 0.000 0.000 0.500
```

* VASP energy: -4.1878 eV per atom
* total magnetization: 0.200 μB per atom